# 1
DFT (PBE-GGA) results for a geometry-optimized KS2F2 structure.

Cell and atoms, written as CIF:
```
data_KS2F2
_chemical_formula_sum 'K2 S4 F4'
_cell_length_a 4.826
_cell_length_b 4.826
_cell_length_c 8.175
_cell_angle_alpha 90.00
_cell_angle_beta 90.00
_cell_angle_gamma 90.00
_space_group_name_H-M_alt 'P 1'
_space_group_IT_number 1
loop_
_space_group_symop_operation_xyz
'x,y,z'
loop_
_atom_site_label
_atom_site_fract_x
_atom_site_fract_y
_atom_site_fract_z
K1 0.000 0.000 0.000
K2 0.500 0.500 0.500
S1 0.000 0.000 0.387
S2 0.000 0.000 0.613
S3 0.500 0.500 0.113
S4 0.500 0.500 0.887
F1 0.000 0.500 0.250
F2 0.000 0.500 0.750
F3 0.500 0.000 0.250
F4 0.500 0.000 0.750
```

Calculated values
Space-group type ... I4/mmm (139)
Formation energy without anion corrections ... -1.05 eV/atom
Magnetization ... 0.00 Bohr magnetons per cell
Energy ... -3.67 eV/atom
ΔE to the lowest computed polymorph ... 3 meV per atom

***

# 2
DFT (PBE-GGA) results for a geometry-optimized LiNb3Pt structure.

Cell and atoms, written as CIF:
```
data_LiNb3Pt
_chemical_formula_sum 'Li1 Nb3 Pt1'
_cell_length_a 4.357
_cell_length_b 4.357
_cell_length_c 4.357
_cell_angle_alpha 90.00
_cell_angle_beta 90.00
_cell_angle_gamma 90.00
_space_group_name_H-M_alt 'P 1'
_space_group_IT_number 1
loop_
_space_group_symop_operation_xyz
'x,y,z'
loop_
_atom_site_label
_atom_site_fract_x
_atom_site_fract_y
_atom_site_fract_z
Li1 0.000 0.000 0.000
Nb1 0.000 0.000 0.500
Nb2 0.000 0.500 0.000
Nb3 0.500 0.000 0.000
Pt1 0.500 0.500 0.500
```

Calculated values
Space-group type ... Pm-3m (221)
Magnetization ... 0.00 Bohr magnetons per cell
Energy ... -6.83 eV/atom
Energy of formation ... 803.3 meV/atom
ΔE to the lowest computed polymorph ... 0 meV per atom

***

# 3
DFT (PBE-GGA) results for a geometry-optimized Y2ZrHg structure.

Cell and atoms, written as CIF:
```
data_Y2ZrHg
_chemical_formula_sum 'Y4 Zr2 Hg2'
_cell_length_a 4.674
_cell_length_b 4.674
_cell_length_c 9.477
_cell_angle_alpha 90.00
_cell_angle_beta 90.00
_cell_angle_gamma 90.00
_space_group_name_H-M_alt 'P 1'
_space_group_IT_number 1
loop_
_space_group_symop_operation_xyz
'x,y,z'
loop_
_atom_site_label
_atom_site_fract_x
_atom_site_fract_y
_atom_site_fract_z
Y1 0.000 0.500 0.250
Y2 0.000 0.500 0.750
Y3 0.500 0.000 0.250
Y4 0.500 0.000 0.750
Zr1 0.000 0.000 0.000
Zr2 0.500 0.500 0.500
Hg1 0.000 0.000 0.500
Hg2 0.500 0.500 0.000
```

Calculated values
Space-group type ... I4/mmm (139)
Magnetization ... 2.88 Bohr magnetons per cell
Energy ... -5.50 eV/atom
Energy of formation ... -60.4 meV/atom